Below is an optimized crystal structure of BaAgHg2Rh, with properties calculated at the PBE level.

POSCAR file:
```
BaAgHg2Rh
1.0
-1.3081 4.5225 -2.3205
-3.0729 1.2051 4.0809
4.0820 2.3950 2.3665
Rh Hg Ag Ba
1 2 1 1
Direct
0.0000 0.0000 0.0000 Rh
0.0000 0.5000 0.0000 Hg
0.5000 0.0000 0.0000 Hg
0.0000 0.0000 0.5000 Ag
0.5000 0.5000 0.5000 Ba
```

Results
energy of formation from the pure elements: -72 kJ/mol of formula units
raw total energy: -13.5 eV for the cell shown

---

Below is an optimized crystal structure of Ba2AgHg3Sb4, with properties calculated at the PBE level.

POSCAR file:
```
Ba2AgHg3Sb4
1.0
-2.6745 0.0660 -4.5386
-1.3192 -5.0518 0.7039
-9.1719 3.1546 5.4506
Ba Ag Hg Sb
2 1 3 4
Direct
0.5000 0.0000 0.2557 Ba
0.0000 0.5000 0.7443 Ba
0.5000 0.5000 0.5000 Ag
0.0000 0.0000 0.5000 Hg
0.5000 0.0000 0.8720 Hg
0.0000 0.5000 0.1280 Hg
0.5000 0.5000 0.0000 Sb
0.0000 0.0000 0.0000 Sb
0.5000 0.0000 0.6205 Sb
0.0000 0.5000 0.3795 Sb
```

Results
raw total energy: -28.0 eV for the cell shown